K3Er2HfSe6: relaxed, GGA-PBE.

Cell and atoms, written as POSCAR:
```
K3Er2HfSe6
1.0
3.5298 -6.1141 0.0000
3.5298 6.1141 0.0000
-2.3582 0.0000 7.7015
K Er Hf Se
3 2 1 6
Direct
0.0000 0.0000 0.0000 K
0.3298 0.6702 0.0000 K
0.6702 0.3298 0.0000 K
0.1663 0.8337 0.5000 Er
0.8337 0.1663 0.5000 Er
0.5000 0.5000 0.5000 Hf
0.1124 0.4325 0.2973 Se
0.2484 0.2484 0.7037 Se
0.4325 0.1124 0.2973 Se
0.5675 0.8876 0.7027 Se
0.7516 0.7516 0.2963 Se
0.8876 0.5675 0.7027 Se
```

## Properties
Total magnetization = 0.0 μB/f.u.
Electronic total energy = -0.1904 Ha/atom
Space-group type = C2/m, No. 12
Formation energy (no corrections) = -18.903 eV per formula unit